Material: CoPIrO2
Method: DFT, PBE with a Hubbard U
State: relaxed

Values from the calculation:
relative energy among the computed polymorphs = 0.000 eV per atom
theoretical density = 7.0 g/cm3

Cell lengths 3.7217, 3.7217, 5.3470 Å; angles 90.00, 90.00, 90.00 degrees
Closest atoms and distances in Å follow each position.
Atoms (fractional coordinates):
Co (0.0000, 0.0000, 0.0000)  4 P 2.63
P (0.5000, 0.5000, 0.0000)  4 Co 2.63, 2 Ir 2.67
Ir (0.5000, 0.5000, 0.5000)  4 O 1.86
O (0.0000, 0.5000, 0.5000)  2 Ir 1.86
O (0.5000, 0.0000, 0.5000)  2 Ir 1.86